#P
Tb3Pr4Er8: relaxed, PBE.

abc: 9.292 9.292 6.753
angles: 111.18 111.18 87.58
Sites, in units of the cell vectors:
Tb (0.000, 0.000, 0.000)
Tb (0.000, 0.500, 0.500)
Tb (0.500, 0.000, 0.500)
Pr (0.000, 0.500, 0.000)
Pr (0.500, 0.000, 0.000)
Pr (0.500, 0.500, 0.000)
Pr (0.500, 0.500, 0.500)
Er (0.137, 0.863, 0.500)
Er (0.229, 0.229, 0.964)
Er (0.231, 0.231, 0.488)
Er (0.244, 0.756, 0.000)
Er (0.756, 0.244, 0.000)
Er (0.769, 0.769, 0.512)
Er (0.771, 0.771, 0.036)
Er (0.863, 0.137, 0.500)

D(E_F): 2.007 states/eV per atom
space-group type: C2/m (12)



#Q
Tb3Pr4Er8: relaxed, PBE.

abc: 12.494 12.494 12.494
angles: 32.33 32.33 32.33
Sites, in units of the cell vectors:
Tb (0.000, 0.500, 0.500)
Tb (0.500, 0.000, 0.500)
Tb (0.500, 0.500, 0.000)
Pr (0.000, 0.000, 0.000)
Pr (0.163, 0.163, 0.163)
Pr (0.500, 0.500, 0.500)
Pr (0.837, 0.837, 0.837)
Er (0.250, 0.250, 0.747)
Er (0.250, 0.747, 0.250)
Er (0.253, 0.750, 0.750)
Er (0.255, 0.255, 0.255)
Er (0.745, 0.745, 0.745)
Er (0.747, 0.250, 0.250)
Er (0.750, 0.253, 0.750)
Er (0.750, 0.750, 0.253)

D(E_F): 1.473 states/eV per atom
space-group type: R-3m (166)



Winner for stability: #Q



#P
Tb3Pr4Er: relaxed, PBE.

abc: 11.984 11.984 6.885
angles: 106.50 106.50 16.87
Sites, in units of the cell vectors:
Tb (0.000, 0.000, 0.000)
Tb (0.122, 0.122, 0.381)
Tb (0.878, 0.878, 0.619)
Pr (0.123, 0.123, 0.867)
Pr (0.259, 0.259, 0.266)
Pr (0.741, 0.741, 0.734)
Pr (0.877, 0.877, 0.133)
Er (0.500, 0.500, 0.500)

D(E_F): 1.655 states/eV per atom
space-group type: C2/m (12)



#Q
Tb3Pr4Er: relaxed, PBE.

abc: 11.710 7.364 6.338
angles: 90.00 90.00 90.00
Sites, in units of the cell vectors:
Tb (0.000, 0.122, 0.000)
Tb (0.250, 0.121, 0.332)
Tb (0.250, 0.879, 0.832)
Tb (0.500, 0.878, 0.500)
Tb (0.750, 0.121, 0.332)
Tb (0.750, 0.879, 0.832)
Pr (0.000, 0.371, 0.500)
Pr (0.000, 0.628, 0.994)
Pr (0.248, 0.629, 0.335)
Pr (0.252, 0.371, 0.835)
Pr (0.500, 0.372, 0.494)
Pr (0.500, 0.629, 0.000)
Pr (0.748, 0.371, 0.835)
Pr (0.752, 0.629, 0.335)
Er (0.000, 0.881, 0.498)
Er (0.500, 0.119, 0.998)

D(E_F): 1.796 states/eV per atom
space-group type: Pmn2_1 (31)



Winner for stability: #Q



#P
Tb6Pr4Er: relaxed, PBE.

abc: 11.084 11.084 3.590
angles: 90.00 90.00 120.00
Sites, in units of the cell vectors:
Tb (0.180, 0.359, 0.000)
Tb (0.180, 0.820, 0.000)
Tb (0.307, 0.153, 0.500)
Tb (0.641, 0.820, 0.000)
Tb (0.847, 0.153, 0.500)
Tb (0.847, 0.693, 0.500)
Pr (0.000, 0.000, 0.000)
Pr (0.504, 0.008, 0.500)
Pr (0.504, 0.496, 0.500)
Pr (0.992, 0.496, 0.500)
Er (0.667, 0.333, 0.000)

D(E_F): 1.491 states/eV per atom
space-group type: P-6m2 (187)



#Q
Tb6Pr4Er: relaxed, PBE.

abc: 9.743 9.743 9.743
angles: 139.68 139.68 58.34
Sites, in units of the cell vectors:
Tb (0.000, 0.500, 0.500)
Tb (0.201, 0.201, 0.647)
Tb (0.446, 0.799, 0.000)
Tb (0.500, 0.000, 0.500)
Tb (0.554, 0.554, 0.353)
Tb (0.799, 0.446, 0.000)
Pr (0.014, 0.634, 0.000)
Pr (0.366, 0.366, 0.380)
Pr (0.634, 0.014, 0.000)
Pr (0.986, 0.986, 0.620)
Er (0.000, 0.000, 0.000)

D(E_F): 1.354 states/eV per atom
space-group type: I-42m (121)



Winner for stability: #P



#P
TbPrErTh: relaxed, PBE.

abc: 11.793 11.793 11.793
angles: 17.57 17.57 17.57
Sites, in units of the cell vectors:
Tb (0.000, 0.000, 0.000)
Pr (0.753, 0.753, 0.753)
Er (0.173, 0.173, 0.173)
Th (0.586, 0.586, 0.586)

D(E_F): 1.452 states/eV per atom
space-group type: R3m (160)



#Q
TbPrErTh: relaxed, PBE.

abc: 5.707 5.707 5.707
angles: 60.00 60.00 60.00
Sites, in units of the cell vectors:
Tb (0.000, 0.000, 0.000)
Pr (0.750, 0.750, 0.750)
Er (0.500, 0.500, 0.500)
Th (0.250, 0.250, 0.250)

D(E_F): 2.034 states/eV per atom
space-group type: F-43m (216)



Winner for stability: #P